<w>
La2Tb2Y3 | PBE | optimized geometry

Structure (extended XYZ):
```
14
Lattice="-6.652 -2.824 -6.238 5.744 2.485 0.048 1.958 -12.404 3.559" Properties=species:S:1:pos:R:3 pbc="T T T"
Y -3.326 -1.412 -3.119
Y 1.609 -4.963 -1.556
Y 0.979 -6.202 1.779
Y -0.559 -7.780 -1.075
Y 5.323 -0.524 0.796
Y -4.274 -12.219 -3.428
La 0.239 -1.746 -2.598
La 0.811 -10.997 -0.033
La -3.474 -6.187 -4.931
La 4.524 -6.557 2.299
Tb 1.787 -0.166 0.263
Tb 2.983 -8.147 -0.544
Tb -1.933 -4.597 -2.087
Tb -0.737 -12.577 -2.895
```

Output
Space-group type: No. 2



<x>
La2Tb2Y3 | PBE | optimized geometry

Structure (extended XYZ):
```
7
Lattice="-4.017 2.896 -2.627 -1.911 0.065 2.994 8.204 8.621 2.941" Properties=species:S:1:pos:R:3 pbc="T T T"
Y 0.000 0.000 0.000
Y 2.077 5.879 3.305
Y 0.199 5.704 0.003
La -2.222 2.911 0.626
La 4.498 8.671 2.682
Tb 0.558 2.951 2.400
Tb 1.717 8.632 0.909
```

Output
Space-group type: No. 71



Result of the stability comparison: <x> is the least stable of them.



<w>
LaTb5Y5 | PBE | optimized geometry

Structure (extended XYZ):
```
11
Lattice="6.118 0.000 0.000 -3.059 5.298 0.000 0.000 0.000 11.720" Properties=species:S:1:pos:R:3 pbc="T T T"
Tb 0.000 3.532 3.826
Tb 0.000 3.532 7.894
Tb 3.059 1.766 9.877
Tb 0.000 0.000 0.000
Tb 3.059 1.766 1.842
Y 3.059 3.529 5.860
Y 0.000 0.000 8.652
Y 6.118 0.000 3.068
Y 1.532 0.885 5.860
Y 4.586 0.885 5.860
La 0.000 3.532 0.000
```

Output
Space-group type: No. 187



<x>
LaTb5Y5 | PBE | optimized geometry

Structure (extended XYZ):
```
11
Lattice="-2.279 -1.938 -5.366 4.853 -2.836 2.480 -7.055 -7.183 5.591" Properties=species:S:1:pos:R:3 pbc="T T T"
Tb -3.478 -4.722 1.406
Tb -1.870 -1.904 1.482
Tb -4.606 -5.681 -1.249
Tb -2.205 -7.084 -0.022
Tb -5.185 -5.279 4.109
Y 0.000 0.000 0.000
Y -2.247 -7.344 3.607
Y 0.142 -4.912 1.714
Y -5.812 -8.255 1.933
Y -1.047 -3.403 -1.843
La 2.475 -2.537 -0.135
```

Output
Space-group type: No. 187



Result of the stability comparison: <w> is the least stable of them.



<w>
La3Tb3Y2 | PBE | optimized geometry

Structure (extended XYZ):
```
8
Lattice="1.148 2.971 -5.392 2.237 -5.897 -0.330 -8.090 -0.805 0.255" Properties=species:S:1:pos:R:3 pbc="T T T"
La -0.462 -3.508 -0.810
La 0.000 0.000 0.000
La -4.243 -0.223 -4.656
Tb -1.020 0.919 -3.347
Tb 1.693 -1.463 -2.861
Tb -3.685 -4.651 -2.120
Y -1.497 -2.594 -4.160
Y -3.208 -1.138 -1.306
```

Output
Space-group type: No. 2



<x>
La3Tb3Y2 | PBE | optimized geometry

Structure (extended XYZ):
```
8
Lattice="-0.964 2.781 4.159 -4.754 -1.998 0.234 6.380 -8.072 3.755" Properties=species:S:1:pos:R:3 pbc="T T T"
Y -0.608 -4.858 3.107
Y 1.270 -2.432 5.041
Tb -0.235 -5.334 6.633
Tb -2.377 -0.999 0.117
Tb 0.896 -1.955 1.515
La -1.986 -1.514 3.673
La -0.482 1.390 2.080
La 2.647 -5.775 4.475
```

Output
Space-group type: No. 71



Result of the stability comparison: <x> is the least stable of them.



<w>
La4TbY | PBE | optimized geometry

Structure (extended XYZ):
```
12
Lattice="5.860 0.000 0.000 0.000 7.127 0.000 0.000 -0.002 10.074" Properties=species:S:1:pos:R:3 pbc="T T T"
Y 2.930 1.781 5.037
Y 2.930 5.344 5.037
La 2.929 7.125 1.718
La 2.931 3.562 1.718
La 5.858 3.561 6.768
La 0.001 3.564 3.305
La 2.931 0.000 8.356
La 5.858 0.000 3.305
La 2.929 3.564 8.356
La 0.001 7.125 6.768
Tb 0.002 1.782 0.000
Tb 5.858 5.345 0.000
```

Output
Space-group type: No. 47



<x>
La4TbY | PBE | optimized geometry

Structure (extended XYZ):
```
6
Lattice="3.671 0.000 0.000 0.000 5.074 -1.306 0.000 -2.340 11.914" Properties=species:S:1:pos:R:3 pbc="T T T"
La 1.835 -0.268 9.459
La 0.000 0.899 3.486
La 1.835 3.002 1.149
La 0.000 1.835 7.122
Tb 0.000 0.000 0.000
Y 1.835 -1.170 5.957
```

Output
Space-group type: No. 47



Result of the stability comparison: <w> is the least stable of them.



<w>
La2Tb2Y5 | PBE | optimized geometry

Structure (extended XYZ):
```
9
Lattice="3.513 0.000 0.000 -1.756 12.339 1.976 0.000 3.031 7.800" Properties=species:S:1:pos:R:3 pbc="T T T"
La 0.000 6.821 6.821
La 1.756 8.549 2.955
Y 0.000 10.202 7.829
Y 0.000 0.000 0.000
Y 1.756 5.168 1.948
Y 0.000 4.003 4.613
Y 1.756 11.367 5.164
Tb 1.756 1.947 2.257
Tb 0.000 13.424 7.519
```

Output
Space-group type: No. 12



<x>
La2Tb2Y5 | PBE | optimized geometry

Structure (extended XYZ):
```
18
Lattice="11.974 0.000 0.000 0.000 6.805 0.000 -5.987 -3.403 7.520" Properties=species:S:1:pos:R:3 pbc="T T T"
La 5.897 4.109 3.760
La 0.000 0.050 0.000
La 5.987 3.453 0.000
La 0.091 0.706 3.760
Y 3.180 2.718 5.385
Y 9.090 1.387 0.804
Y 8.915 -0.671 3.760
Y 3.180 2.718 2.135
Y -2.928 2.732 3.760
Y -3.103 -2.016 6.716
Y -2.884 1.387 6.716
Y 2.807 -0.685 2.135
Y 2.807 -0.685 5.385
Y 8.871 4.790 0.804
Tb 6.036 0.398 1.906
Tb 6.036 0.398 5.615
Tb -0.049 3.801 5.615
Tb -0.049 3.801 1.906
```

Output
Space-group type: No. 46



Result of the stability comparison: <w> is the least stable of them.



<w>
La2Tb4Y3 | PBE | optimized geometry

Structure (extended XYZ):
```
9
Lattice="5.115 0.000 0.000 0.000 8.024 0.783 -2.558 -3.119 6.985" Properties=species:S:1:pos:R:3 pbc="T T T"
Tb 0.000 1.323 3.370
Tb 0.000 2.545 6.713
Tb 2.558 2.360 1.055
Tb 2.558 3.582 4.397
Y 0.000 0.000 0.000
Y 2.558 0.267 5.712
Y 0.000 4.638 2.056
La 0.000 5.930 5.452
La 2.558 -1.025 2.315
```

Output
Space-group type: No. 12



<x>
La2Tb4Y3 | PBE | optimized geometry

Structure (extended XYZ):
```
18
Lattice="6.040 0.081 0.489 0.631 9.567 3.726 0.231 -0.187 10.282" Properties=species:S:1:pos:R:3 pbc="T T T"
Y 2.685 3.023 1.518
Y 4.217 6.439 12.979
Y 1.881 3.243 8.113
Y 1.316 9.305 10.782
Y 5.021 6.218 6.385
Y 5.586 0.157 3.716
La 4.833 4.615 9.605
La 1.906 6.835 7.842
La 4.997 2.627 6.656
La 2.069 4.846 4.893
Tb 4.491 7.999 9.857
Tb 3.499 0.323 8.997
Tb 1.383 5.814 11.054
Tb 6.109 1.500 10.906
Tb 0.793 7.962 3.592
Tb 5.519 3.647 3.444
Tb 2.412 1.462 4.641
Tb 3.403 9.138 5.501
```

Output
Space-group type: No. 15



Result of the stability comparison: <x> is the least stable of them.



<w>
LaTb4Y3 | PBE | optimized geometry

Structure (extended XYZ):
```
8
Lattice="3.348 0.000 0.867 1.182 8.529 2.334 -0.504 -1.085 8.841" Properties=species:S:1:pos:R:3 pbc="T T T"
Y 2.699 1.810 3.373
Y 0.339 3.722 5.587
Y 1.327 5.634 8.668
Tb 2.793 5.122 3.009
Tb 1.232 2.323 9.033
Tb 1.951 0.319 6.259
Tb 2.074 7.125 5.782
La 1.674 0.000 0.434
```

Output
Space-group type: No. 71



<x>
LaTb4Y3 | PBE | optimized geometry

Structure (extended XYZ):
```
16
Lattice="-5.686 -1.097 -2.547 -0.059 -6.691 3.015 -5.008 4.256 9.349" Properties=species:S:1:pos:R:3 pbc="T T T"
La -6.194 -2.777 4.931
La -0.832 -2.647 0.759
Tb -6.559 -3.192 8.450
Tb -6.853 -0.829 0.232
Tb -0.896 -6.027 2.264
Tb -3.707 -1.529 -1.290
Tb -9.333 1.279 4.861
Tb -4.030 -5.340 3.731
Tb -3.413 -3.913 6.938
Tb -6.199 0.590 3.396
Y -3.358 -0.522 5.423
Y -9.374 -2.082 6.393
Y -6.523 0.169 6.916
Y -3.712 -4.911 0.247
Y -6.877 -4.204 1.733
Y -4.012 -1.966 2.228
```

Output
Space-group type: No. 31



Result of the stability comparison: <w> is the least stable of them.



<w>
LaTb2Y8 | PBE | optimized geometry

Structure (extended XYZ):
```
11
Lattice="6.533 0.279 -1.524 -0.992 5.832 -3.186 0.637 1.074 8.853" Properties=species:S:1:pos:R:3 pbc="T T T"
Y 0.734 3.307 5.825
Y 4.193 2.059 5.790
Y 2.452 2.388 -0.151
Y 1.986 5.126 -1.647
Y 5.444 3.878 -1.681
Y 3.727 4.797 4.294
Y 5.241 1.888 1.825
Y 0.938 5.297 2.318
La 0.000 0.000 0.000
Tb 2.028 2.016 3.060
Tb 4.150 5.169 1.084
```

Output
Space-group type: No. 12



<x>
LaTb2Y8 | PBE | optimized geometry

Structure (extended XYZ):
```
11
Lattice="-3.313 4.088 1.814 -7.699 -4.766 -4.837 -7.108 -7.202 1.732" Properties=species:S:1:pos:R:3 pbc="T T T"
Y -3.574 -1.302 -0.161
Y -14.546 -6.578 -1.129
Y -11.949 -4.030 -2.172
Y -11.674 -5.166 0.889
Y -6.171 -3.849 0.882
Y -6.447 -2.714 -2.179
Y -8.890 -5.577 -1.267
Y -9.230 -2.303 -0.023
La 0.000 0.000 0.000
Tb -6.706 -0.333 0.480
Tb -11.414 -7.547 -1.771
```

Output
Space-group type: No. 12



Result of the stability comparison: <w> is the least stable of them.



<w>
La5Tb2Y | PBE | optimized geometry

Structure (extended XYZ):
```
16
Lattice="-13.982 -1.431 1.926 3.012 -13.019 -4.763 -6.966 -10.721 0.873" Properties=species:S:1:pos:R:3 pbc="T T T"
La -15.327 -16.600 -0.352
La -10.869 -10.674 0.705
La -2.609 -8.570 -1.612
La -16.555 -19.882 -1.281
La -9.993 -16.621 -2.930
La -7.066 -14.497 -2.669
La -7.943 -8.550 0.966
La -5.713 -10.937 -1.796
La -12.222 -14.234 -0.168
La -1.381 -5.289 -0.682
Y -6.475 -18.153 -2.430
Y -11.461 -7.018 0.466
Tb -6.991 -0.716 0.963
Tb -1.977 -11.870 -1.945
Tb -8.968 -12.585 -0.982
Tb -5.485 -7.225 -1.418
```

Output
Space-group type: No. 15



<x>
La5Tb2Y | PBE | optimized geometry

Structure (extended XYZ):
```
16
Lattice="-3.318 -3.692 -2.797 5.118 -2.752 3.365 -9.653 -1.510 13.445" Properties=species:S:1:pos:R:3 pbc="T T T"
Y -7.192 -5.248 9.656
Y -0.661 -2.707 4.357
La -10.016 -4.334 11.799
La -3.839 -2.534 2.096
La -7.476 -7.119 12.462
La -6.192 -3.736 6.474
La -4.449 -6.646 8.247
La -0.377 -0.836 1.551
La -1.661 -4.219 7.539
La -3.404 -1.309 5.766
La 2.162 -3.620 2.214
La -4.015 -5.421 11.917
Tb -1.067 -4.569 1.494
Tb -4.566 -3.038 9.426
Tb -6.786 -3.385 12.519
Tb -3.288 -4.917 4.587
```

Output
Space-group type: No. 63



Result of the stability comparison: <w> is the least stable of them.



<w>
LaTb5Y3 | PBE | optimized geometry

Structure (extended XYZ):
```
18
Lattice="9.393 -0.109 1.591 2.466 9.064 1.591 5.590 4.221 9.333" Properties=species:S:1:pos:R:3 pbc="T T T"
Tb 4.247 6.705 1.591
Tb 10.306 4.178 4.236
Tb 10.610 4.407 8.278
Tb 7.611 2.250 1.591
Tb 2.385 1.801 0.997
Tb 7.179 5.421 3.712
Tb 6.839 8.768 4.236
Tb 10.270 7.755 8.803
Tb 15.064 11.374 11.518
Tb 7.143 8.998 8.278
Y 2.795 2.111 4.667
Y 0.000 0.000 0.000
Y 12.745 9.624 9.838
Y 7.641 5.770 7.089
Y 9.808 7.406 5.426
Y 4.703 3.552 2.677
La 5.220 3.941 5.997
La 12.229 9.234 6.518
```

Output
Space-group type: No. 12



<x>
LaTb5Y3 | PBE | optimized geometry

Structure (extended XYZ):
```
18
Lattice="6.337 0.000 0.000 -3.168 10.378 -5.228 0.000 -3.027 10.865" Properties=species:S:1:pos:R:3 pbc="T T T"
Tb 5.181 2.110 3.322
Tb 1.156 0.596 8.754
Tb 2.507 -2.270 8.148
Tb 3.830 -0.757 2.716
Tb -2.012 5.241 2.315
Tb 1.801 1.623 5.080
Tb 2.012 6.755 -3.117
Tb -1.368 4.215 5.989
Tb 4.536 3.136 -0.352
Tb 1.368 5.728 0.557
Y 1.933 2.430 1.644
Y 0.000 -1.514 5.432
Y 1.235 4.921 3.993
Y -1.235 6.435 -1.439
Y 4.404 0.916 7.076
Y 0.000 0.000 0.000
La 5.460 -2.270 8.148
La 0.877 -0.757 2.716
```

Output
Space-group type: No. 15



Result of the stability comparison: <w> is the least stable of them.